Record 1
Below is TlCd2B after structural relaxation, with properties calculated at the GGA-PBE level.

Values from the calculation:
For the formation energy, the calculation gives 0.983 eV per atom.

a = 6.984 Å, b = 6.984 Å, c = 6.984 Å
α = 90.00°, β = 90.00°, γ = 90.00°
Space group Fm-3m (No. 225)
Inequivalent atoms, fractional coordinates:
Tl: 0.000 0.000 0.000
Cd: 0.250 0.250 0.250
B: 0.000 0.000 0.500

***

Record 2
Below is Pr3Ho2 after structural relaxation, with properties calculated at the GGA-PBE level.

Values from the calculation:
For the formation energy, the calculation gives 0.152 eV per atom.

a = 6.432 Å, b = 16.754 Å, c = 6.341 Å
α = 90.00°, β = 90.00°, γ = 90.00°
Space group Ibam (No. 72)
Inequivalent atoms, fractional coordinates:
Pr: 0.000 0.000 0.250
Pr: 0.098 0.400 0.000
Ho: 0.127 0.195 0.000

***

Record 3
Below is MnNbAl after structural relaxation, with properties calculated at the GGA-PBE level.

Values from the calculation:
For the formation energy, the calculation gives -0.173 eV per atom.

a = 3.086 Å, b = 3.086 Å, c = 9.282 Å
α = 90.00°, β = 90.00°, γ = 90.00°
Space group I4mm (No. 107)
Inequivalent atoms, fractional coordinates:
Mn: 0.000 0.000 0.000
Nb: 0.000 0.000 0.351
Al: 0.000 0.000 0.654

***

Record 4
Below is CrOs2Se after structural relaxation, with properties calculated at the GGA-PBE level.

Values from the calculation:
Its formation energy without anion corrections is 0.38 eV per atom.

a = 3.879 Å, b = 2.829 Å, c = 10.560 Å
α = 90.00°, β = 90.00°, γ = 90.00°
Space group Amm2 (No. 38)
Inequivalent atoms, fractional coordinates:
Cr: 0.000 0.000 0.000
Os: 0.000 0.000 0.253
Os: 0.500 0.000 0.636
Se: 0.500 0.000 0.407

***

Record 5
Below is Sr2ZrBr after structural relaxation, with properties calculated at the GGA-PBE level.

Values from the calculation:
Its formation energy without anion corrections is 0.12 eV per atom.

a = 4.751 Å, b = 4.751 Å, c = 12.968 Å
α = 90.00°, β = 90.00°, γ = 90.00°
Space group I-4m2 (No. 119)
Inequivalent atoms, fractional coordinates:
Sr: 0.000 0.000 0.000
Sr: 0.000 0.500 0.250
Zr: 0.000 0.500 0.750
Br: 0.000 0.000 0.500

***

Record 6
Below is Ba3Na9Tl2 after structural relaxation, with properties calculated at the GGA-PBE level.

Values from the calculation:
For the formation energy, the calculation gives -0.059 eV per atom.

a = 5.780 Å, b = 12.823 Å, c = 15.161 Å
α = 90.00°, β = 90.00°, γ = 90.00°
Space group Immm (No. 71)
Inequivalent atoms, fractional coordinates:
Ba: 0.000 0.000 0.000
Ba: 0.000 0.000 0.307
Na: 0.000 0.282 0.123
Na: 0.000 0.356 0.352
Na: 0.000 0.500 0.000
Tl: 0.000 0.165 0.500

***

Record 7
Below is Na2LiGdCl6 after structural relaxation, with properties calculated at the GGA-PBE level.

Values from the calculation:
Its formation energy without anion corrections is -1.87 eV per atom.

a = 10.321 Å, b = 10.321 Å, c = 10.321 Å
α = 90.00°, β = 90.00°, γ = 90.00°
Space group Fm-3m (No. 225)
Inequivalent atoms, fractional coordinates:
Na: 0.250 0.250 0.250
Li: 0.000 0.000 0.000
Gd: 0.000 0.000 0.500
Cl: 0.000 0.000 0.244

***

Record 8
Below is YAlCr after structural relaxation, with properties calculated at the GGA-PBE level.

Values from the calculation:
For the formation energy, the calculation gives -0.095 eV per atom.

a = 3.110 Å, b = 3.110 Å, c = 11.572 Å
α = 90.00°, β = 90.00°, γ = 90.00°
Space group P4/nmm (No. 129, origin choice 2)
Inequivalent atoms, fractional coordinates:
Y: 0.250 0.250 0.130
Al: 0.250 0.250 0.680
Cr: 0.250 0.250 0.451

***

Record 9
Below is AlCd2TcB after structural relaxation, with properties calculated at the GGA-PBE level.

Values from the calculation:
For the formation energy, the calculation gives 1.719 eV per atom.

a = 4.948 Å, b = 4.948 Å, c = 4.670 Å
α = 90.00°, β = 90.00°, γ = 90.00°
Space group P4/mmm (No. 123)
Inequivalent atoms, fractional coordinates:
Al: 0.000 0.000 0.000
Cd: 0.000 0.500 0.000
Tc: 0.000 0.000 0.500
B: 0.500 0.500 0.500

***

Record 10
Below is Sr2MgTa after structural relaxation, with properties calculated at the GGA-PBE level.

Values from the calculation:
For the formation energy, the calculation gives 1.175 eV per atom.

a = 4.637 Å, b = 4.637 Å, c = 23.089 Å
α = 90.00°, β = 90.00°, γ = 90.00°
Space group I-42d (No. 122)
Inequivalent atoms, fractional coordinates:
Sr: 0.246 0.250 0.125
Mg: 0.000 0.000 0.500
Ta: 0.000 0.000 0.000

***

Record 11
Below is ReGeAu2C after structural relaxation, with properties calculated at the GGA-PBE level.

Values from the calculation:
For the formation energy, the calculation gives 2.287 eV per atom.

a = 5.069 Å, b = 5.069 Å, c = 4.785 Å
α = 90.00°, β = 90.00°, γ = 90.00°
Space group P4/mmm (No. 123)
Inequivalent atoms, fractional coordinates:
Re: 0.000 0.000 0.000
Ge: 0.000 0.000 0.500
Au: 0.000 0.500 0.000
C: 0.500 0.500 0.500

***

Record 12
Below is FeTeH2 after structural relaxation, with properties calculated at the GGA-PBE level.

Values from the calculation:
The calculation puts the total energy at -4.0429 eV per atom.

a = 4.255 Å, b = 4.255 Å, c = 9.757 Å
α = 90.00°, β = 90.00°, γ = 90.00°
Space group I4_1/amd (No. 141, origin choice 2)
Inequivalent atoms, fractional coordinates:
Fe: 0.000 0.250 0.375
Te: 0.000 0.250 0.875
H: 0.000 0.000 0.500

***

Record 13
Below is LaScOs after structural relaxation, with properties calculated at the GGA-PBE level.

Values from the calculation:
For the formation energy, the calculation gives -0.180 eV per atom.

a = 3.345 Å, b = 3.345 Å, c = 13.138 Å
α = 90.00°, β = 90.00°, γ = 90.00°
Space group I4mm (No. 107)
Inequivalent atoms, fractional coordinates:
La: 0.000 0.000 0.000
Sc: 0.000 0.000 0.253
Os: 0.000 0.000 0.644

***

Record 14
Below is CsDyMn2Se4 after structural relaxation, with properties calculated at the GGA-PBE level.

Values from the calculation:
Its formation energy without anion corrections is -0.63 eV per atom.

a = 6.833 Å, b = 8.782 Å, c = 9.489 Å
α = 90.00°, β = 90.00°, γ = 90.00°
Space group I222 (No. 23)
Inequivalent atoms, fractional coordinates:
Cs: 0.000 0.000 0.000
Dy: 0.000 0.000 0.500
Mn: 0.000 0.500 0.102
Se: 0.249 0.338 0.828

***

Record 15
Below is Tb2CeSi3Pt4 after structural relaxation, with properties calculated at the GGA-PBE level.

Values from the calculation:
Its formation energy without anion corrections is -0.99 eV per atom.

a = 4.241 Å, b = 4.241 Å, c = 10.927 Å
α = 90.00°, β = 90.00°, γ = 90.00°
Space group P-4m2 (No. 115)
Inequivalent atoms, fractional coordinates:
Tb: 0.000 0.500 0.221
Ce: 0.000 0.000 0.500
Si: 0.000 0.500 0.882
Si: 0.500 0.500 0.500
Pt: 0.000 0.000 0.000
Pt: 0.000 0.500 0.666
Pt: 0.500 0.500 0.000

***

Record 16
Below is BaCe2CuSe5 after structural relaxation, with properties calculated at the GGA-PBE level.

Values from the calculation:
Its formation energy without anion corrections is -1.57 eV per atom.

a = 8.098 Å, b = 8.098 Å, c = 14.210 Å
α = 90.00°, β = 90.00°, γ = 90.00°
Space group I4/mcm (No. 140)
Inequivalent atoms, fractional coordinates:
Ba: 0.000 0.000 0.250
Ce: 0.159 0.341 0.000
Cu: 0.000 0.500 0.250
Se: 0.000 0.000 0.000
Se: 0.151 0.349 0.368

***

Record 17
Below is KMnNi after structural relaxation, with properties calculated at the GGA-PBE level.

Values from the calculation:
For the formation energy, the calculation gives 0.648 eV per atom.

a = 2.756 Å, b = 3.524 Å, c = 12.606 Å
α = 90.13°, β = 93.75°, γ = 90.00°
Space group P1 (No. 1)
Inequivalent atoms, fractional coordinates:
K: 0.000 0.000 0.000
K: 0.027 0.494 0.341
Mn: 0.438 0.497 0.618
Mn: 0.742 0.997 0.549
Ni: 0.470 0.499 0.811
Ni: 0.959 0.998 0.734

***

Record 18
Below is La3Ag2Sn after structural relaxation, with properties calculated at the GGA-PBE level.

Values from the calculation:
For the formation energy, the calculation gives -0.424 eV per atom.

a = 5.299 Å, b = 15.887 Å, c = 4.132 Å
α = 90.00°, β = 90.00°, γ = 90.00°
Space group Cmmm (No. 65)
Inequivalent atoms, fractional coordinates:
La: 0.000 0.000 0.000
La: 0.000 0.333 0.000
Ag: 0.000 0.167 0.500
Sn: 0.000 0.500 0.500

***

Record 19
Below is Pa4Rh after structural relaxation, with properties calculated at the GGA-PBE level.

Values from the calculation:
For the formation energy, the calculation gives -0.147 eV per atom.

a = 6.323 Å, b = 18.222 Å, c = 5.005 Å
α = 90.00°, β = 126.07°, γ = 90.00°
Space group C2/c (No. 15)
Inequivalent atoms, fractional coordinates:
Pa: 0.174 0.079 0.095
Pa: 0.226 0.299 0.229
Rh: 0.000 0.449 0.250

***

Record 20
Below is CsTlPb2Br8 after structural relaxation, with properties calculated at the GGA-PBE level.

Values from the calculation:
Its formation energy without anion corrections is -0.88 eV per atom.

a = 6.891 Å, b = 7.597 Å, c = 10.056 Å
α = 74.71°, β = 79.69°, γ = 78.28°
Space group P-1 (No. 2)
Inequivalent atoms, fractional coordinates:
Cs: 0.000 0.000 0.000
Tl: 0.000 0.000 0.500
Pb: 0.446 0.443 0.236
Br: 0.138 0.696 0.741
Br: 0.263 0.830 0.310
Br: 0.274 0.205 0.515
Br: 0.430 0.260 0.019

***

| no. | ρ (g cm⁻³) |
| --- | --- |
| 1 | 8.58 |
| 2 | 7.32 |
| 3 | 6.57 |
| 4 | 14.66 |
| 5 | 3.93 |
| 6 | 3.04 |
| 7 | 2.55 |
| 8 | 4.98 |
| 9 | 5.24 |
| 10 | 5.09 |
| 11 | 8.98 |
| 12 | 6.97 |
| 13 | 8.45 |
| 14 | 4.21 |
| 15 | 11.17 |
| 16 | 6.24 |
| 17 | 4.15 |
| 18 | 7.17 |
| 19 | 14.63 |
| 20 | 4.69 |